The following is a PBE-GGA calculation of TaAl3S after structural relaxation, from the Alexandria database.

Unit cell a=5.1270 b=5.1270 c=5.1270 alpha=90.00 beta=90.00 gamma=90.00
Element x y z (fractional)
Ta 0.0000 0.0000 0.0000
Al 0.0000 0.0000 0.5000
Al 0.0000 0.5000 0.0000
Al 0.5000 0.0000 0.0000
S 0.5000 0.5000 0.5000

- electronic total energy (eV/cell) = -21.248
- ΔE_f (raw) (meV per atom) = 1192

---

The following is a PBE-GGA calculation of TaAlS2 after structural relaxation, from the Alexandria database.

Unit cell a=5.6242 b=5.6242 c=10.0390 alpha=90.00 beta=90.00 gamma=90.00
Element x y z (fractional)
Ta 0.0000 0.0000 0.0000
Ta 0.0000 0.5000 0.2500
Ta 0.5000 0.0000 0.7500
Ta 0.5000 0.5000 0.5000
Al 0.0000 0.0000 0.5000
Al 0.0000 0.5000 0.7500
Al 0.5000 0.0000 0.2500
Al 0.5000 0.5000 0.0000
S 0.2282 0.2500 0.6250
S 0.2500 0.7282 0.8750
S 0.2500 0.7718 0.3750
S 0.2718 0.2500 0.1250
S 0.7282 0.7500 0.1250
S 0.7500 0.2282 0.3750
S 0.7500 0.2718 0.8750
S 0.7718 0.7500 0.6250

- electronic total energy (eV/cell) = -98.182
- ΔE_f (raw) (meV per atom) = -174

---

Going through the records in order, we get magnetic moment values of 2.43, 2.79 Bohr magnetons per cell.